<w>
La2Al2Pd | PBE | optimized geometry

Geometry as CIF:
```
data_La2Al2Pd
_chemical_formula_sum 'La4 Al4 Pd2'
_symmetry_space_group_name_H-M 'P 1'
_symmetry_Int_Tables_number 1
_symmetry_space_group_name_Hall 'P 1'
_cell_length_a 6.896
_cell_length_b 6.896
_cell_length_c 5.029
_cell_angle_alpha 90.00
_cell_angle_beta 90.00
_cell_angle_gamma 90.00
loop_
_atom_site_label
_atom_site_type_symbol
_atom_site_fract_x
_atom_site_fract_y
_atom_site_fract_z
La1 La 0.161 0.339 0.000
La2 La 0.339 0.839 0.000
La3 La 0.661 0.161 0.000
La4 La 0.839 0.661 0.000
Al1 Al 0.145 0.645 0.500
Al2 Al 0.355 0.145 0.500
Al3 Al 0.645 0.855 0.500
Al4 Al 0.855 0.355 0.500
Pd1 Pd 0.000 0.000 0.500
Pd2 Pd 0.500 0.500 0.500
```

=====

<x>
La2Al2Pd | PBE | optimized geometry

Geometry as CIF:
```
data_La2Al2Pd
_chemical_formula_sum 'La4 Al4 Pd2'
_symmetry_space_group_name_H-M 'P 1'
_symmetry_Int_Tables_number 1
_symmetry_space_group_name_Hall 'P 1'
_cell_length_a 5.922
_cell_length_b 5.922
_cell_length_c 10.572
_cell_angle_alpha 113.50
_cell_angle_beta 113.50
_cell_angle_gamma 47.29
loop_
_atom_site_label
_atom_site_type_symbol
_atom_site_fract_x
_atom_site_fract_y
_atom_site_fract_z
La1 La 0.082 0.082 0.388
La2 La 0.329 0.329 0.815
La3 La 0.671 0.671 0.185
La4 La 0.918 0.918 0.612
Al1 Al 0.097 0.097 0.949
Al2 Al 0.380 0.380 0.382
Al3 Al 0.620 0.620 0.618
Al4 Al 0.903 0.903 0.051
Pd1 Pd 0.358 0.358 0.130
Pd2 Pd 0.642 0.642 0.870
```

=====

Tell me which of them is the most stable. Sure, it is <x>.